An optimized crystal structure of Ti3AlH. Source: Alexandria, functional PBE.

Calculated values
- Total DFT energy (no corrections): -6.3692 eV/atom
- Density of states at the Fermi level: 15.11 states/eV per cell
- M_tot: 0.000 μB per atom

Unit cell a=7.557 b=5.283 c=7.319 alpha=90.00 beta=107.50 gamma=90.00
Space group P2_1/c (No. 14)
Asymmetric unit:
Ti1 0.006 0.124 0.323 [4 per cell]
Ti2 0.199 0.000 0.057 [4 per cell]
Ti3 0.390 0.110 0.794 [4 per cell]
Al1 0.348 0.620 0.920 [4 per cell]
H1 0.129 0.177 0.638 [4 per cell]